PBE ScTcW2, relaxed; N(E_F) = 1.026 states/eV per atom; relative energy among the computed polymorphs = 257 meV/atom; ΔE_f = 0.1812 eV/atom; total magnetic moment = 0.000 μB per atom; raw total energy = -41.9 eV/cell
1.0
2.784 0.000 0.000
-0.951 2.617 0.000
0.000 0.000 9.184
W Sc Tc
2 1 1
direct
0.000 0.000 0.516
0.000 0.000 0.984
0.500 0.500 0.250
0.500 0.500 0.750

PBE ScTcW, relaxed; N(E_F) = 0.734 states/eV per atom; relative energy among the computed polymorphs = 168 meV/atom; ΔE_f = 0.0011 eV/atom; total magnetic moment = 0.000 μB per atom; raw total energy = -29.6 eV/cell
1.0
4.472 0.000 0.000
-2.236 3.873 0.000
0.000 0.000 2.900
Tc W Sc
1 1 1
direct
0.667 0.333 0.360
0.333 0.667 0.622
0.000 0.000 0.017

PBE ScTcW2, relaxed; N(E_F) = 0.857 states/eV per atom; relative energy among the computed polymorphs = 164 meV/atom; ΔE_f = 0.0878 eV/atom; total magnetic moment = 0.000 μB per atom; raw total energy = -42.3 eV/cell
1.0
2.799 -0.003 0.000
-0.961 2.629 0.000
0.000 0.000 9.047
W Sc Tc
2 1 1
direct
0.000 0.000 0.994
0.500 0.500 0.238
0.000 0.000 0.508
0.500 0.500 0.760

PBE ScTcW2, relaxed; N(E_F) = 0.726 states/eV per atom; relative energy among the computed polymorphs = 330 meV/atom; ΔE_f = 0.2534 eV/atom; total magnetic moment = 0.000 μB per atom; raw total energy = -41.6 eV/cell
1.0
4.700 0.000 0.000
0.000 3.779 0.000
0.000 0.000 3.779
W Sc Tc
2 1 1
direct
0.000 0.000 0.000
0.000 0.500 0.500
0.500 0.500 0.000
0.500 0.000 0.500